No. 1
## Na3ZrU3S8 (PBE)

Data for a relaxed structure of Na3ZrU3S8.

Unit cell a=7.776 b=7.776 c=8.186 alpha=118.38 beta=90.00 gamma=120.00
Last column: magnetic moment on the atom in μB.
Element x y z (fractional)
Na 0.000 0.000 0.000  0.00
Na 0.000 0.500 0.000  0.00
Na 0.500 0.500 0.000  0.00
Zr 0.000 0.000 0.500  0.47
U 0.500 0.000 0.500  2.51
U 0.500 0.500 0.500  2.51
U 0.000 0.500 0.500  2.51
S 0.255 0.511 0.267  -0.06
S 0.745 0.489 0.733  -0.06
S 0.766 0.532 0.279  -0.04
S 0.234 0.468 0.721  -0.04
S 0.766 0.013 0.279  -0.04
S 0.234 0.987 0.721  -0.04
S 0.247 0.013 0.279  -0.04
S 0.753 0.987 0.721  -0.04

***

No. 2
## Zn2TcAg (PBE)

Data for a relaxed structure of Zn2TcAg.

Unit cell a=4.631 b=4.631 c=5.234 alpha=82.03 beta=82.03 gamma=33.68
Element x y z (fractional)
Ag 0.250 0.250 0.250
Tc 0.750 0.750 0.750
Zn 0.001 0.001 0.978
Zn 0.499 0.499 0.522

Results
- Formation energy from the elements: 0.1761 eV/atom
- Polymorph energy (0 for the lowest one): 43 kJ/mol of formula units

***

No. 3
## Sr2HfMgN (PBE)

Data for a relaxed structure of Sr2HfMgN.

Unit cell a=6.709 b=4.040 c=6.709 alpha=90.00 beta=90.00 gamma=90.00
Element x y z (fractional)
Sr 0.000 0.000 0.500
Sr 0.500 0.000 0.000
Mg 0.500 0.500 0.500
Hf 0.000 0.000 0.000
N 0.000 0.500 0.000

Results
- Polymorph energy (0 for the lowest one): 327 kJ/mol of formula units

***

Short version: calculated total energy = -6.7008; -3.7652; -4.3209 eV per atom, in the order given.